Entry from the Alexandria database: a relaxed structure of BeZn2Bi (PBE-GGA).

**Polymorph energy (0 for the lowest one)**: 285 meV per atom
**N(E_F)**: 0.6502 states/eV per atom
**Total moment**: 0.000 Bohr magnetons per cell
**ΔE_f**: 0.58 eV/atom
**Space-group type**: No. 225

Cell: 4.7924 4.7924 4.7924 Å, 60.00 60.00 60.00°
Atoms (fractional coordinates):
Be (0.0000, 0.0000, 0.0000)
Zn (0.2500, 0.2500, 0.2500)
Zn (0.7500, 0.7500, 0.7500)
Bi (0.5000, 0.5000, 0.5000)